A plane-wave DFT calculation with PBE-GGA was carried out for a relaxed Cd2Pd3Au crystal.

Structure (CIF):
```
data_Cd2Pd3Au
_cell_length_a 2.8193
_cell_length_b 5.1280
_cell_length_c 8.3854
_cell_angle_alpha 107.80
_cell_angle_beta 99.68
_cell_angle_gamma 90.00
_space_group_name_H-M_alt 'P 1'
_space_group_IT_number 1
_space_group_name_Hall 'P 1'
loop_
_atom_site_label
_atom_site_type_symbol
_atom_site_fract_x
_atom_site_fract_y
_atom_site_fract_z
Cd1 Cd 0.6534 0.6534 0.3068
Au1 Au 0.0000 0.0000 0.0000
Pd1 Pd 0.0000 0.5000 0.0000
Cd2 Cd 0.3466 0.3466 0.6932
Pd2 Pd 0.1752 0.1752 0.3505
Pd3 Pd 0.8248 0.8248 0.6495
```

Calculated values
energy of formation from the pure elements = -0.01 eV/atom
relative energy among the computed polymorphs = 0.3303 eV per atom
raw total energy = -3.46 eV per atom

***

A plane-wave DFT calculation with PBE-GGA was carried out for a relaxed Cd3Pd8Au crystal.

Structure (CIF):
```
data_Cd3Pd8Au
_cell_length_a 6.9662
_cell_length_b 6.9662
_cell_length_c 6.9662
_cell_angle_alpha 94.63
_cell_angle_beta 117.37
_cell_angle_gamma 117.37
_space_group_name_H-M_alt 'P 1'
_space_group_IT_number 1
_space_group_name_Hall 'P 1'
loop_
_atom_site_label
_atom_site_type_symbol
_atom_site_fract_x
_atom_site_fract_y
_atom_site_fract_z
Pd1 Pd 0.0000 0.7518 0.2535
Au1 Au 0.0000 0.0000 0.0000
Cd1 Cd 0.5000 0.2500 0.7500
Cd2 Cd 0.0000 0.5000 0.5000
Cd3 Cd 0.5000 0.7500 0.2500
Pd2 Pd 0.0000 0.6198 0.8850
Pd3 Pd 0.2653 0.3802 0.3802
Pd4 Pd 0.0000 0.8850 0.6198
Pd5 Pd 0.5017 0.2482 0.2482
Pd6 Pd 0.7347 0.1150 0.1150
Pd7 Pd 0.0000 0.2535 0.7518
Pd8 Pd 0.4983 0.7465 0.7465
```

Calculated values
energy of formation from the pure elements = 0.28 eV/atom
raw total energy = -3.68 eV per atom

***

A plane-wave DFT calculation with PBE-GGA was carried out for a relaxed Cd2Pd3Au7 crystal.

Structure (CIF):
```
data_Cd2Pd3Au7
_cell_length_a 2.8856
_cell_length_b 4.7014
_cell_length_c 16.3086
_cell_angle_alpha 94.00
_cell_angle_beta 90.00
_cell_angle_gamma 90.00
_space_group_name_H-M_alt 'P 1'
_space_group_IT_number 1
_space_group_name_Hall 'P 1'
loop_
_atom_site_label
_atom_site_type_symbol
_atom_site_fract_x
_atom_site_fract_y
_atom_site_fract_z
Pd1 Pd 0.5000 0.5000 0.0000
Au1 Au 0.5000 0.8155 0.7993
Au2 Au 0.5000 0.1845 0.2007
Au3 Au 0.0000 0.0000 0.0000
Au4 Au 0.0000 0.6697 0.1416
Cd1 Cd 0.5000 0.7077 0.2977
Pd2 Pd 0.0000 0.2237 0.3729
Au5 Au 0.5000 0.7407 0.4615
Au6 Au 0.5000 0.2593 0.5385
Cd2 Cd 0.5000 0.2923 0.7023
Au7 Au 0.0000 0.3303 0.8584
Pd3 Pd 0.0000 0.7763 0.6271
```

Calculated values
energy of formation from the pure elements = -0.04 eV/atom
relative energy among the computed polymorphs = 0.0000 eV per atom
raw total energy = -3.40 eV per atom

***

A plane-wave DFT calculation with PBE-GGA was carried out for a relaxed CdPd6Au3 crystal.

Structure (CIF):
```
data_CdPd6Au3
_cell_length_a 4.9431
_cell_length_b 9.0789
_cell_length_c 9.0789
_cell_angle_alpha 121.98
_cell_angle_beta 90.00
_cell_angle_gamma 90.00
_space_group_name_H-M_alt 'P 1'
_space_group_IT_number 1
_space_group_name_Hall 'P 1'
loop_
_atom_site_label
_atom_site_type_symbol
_atom_site_fract_x
_atom_site_fract_y
_atom_site_fract_z
Au1 Au 0.4669 0.2602 0.0708
Au2 Au 0.5710 0.5997 0.4003
Pd1 Pd 0.1400 0.7008 0.2992
Pd2 Pd 0.0240 0.3889 0.2845
Pd3 Pd 0.6400 0.2992 0.7008
Pd4 Pd 0.0240 0.7155 0.6111
Pd5 Pd 0.8418 0.9658 0.5470
Pd6 Pd 0.9509 0.0566 0.9434
Pd7 Pd 0.3418 0.5470 0.9658
Pd8 Pd 0.3418 0.0342 0.4530
Pd9 Pd 0.8418 0.4530 0.0342
Pd10 Pd 0.5240 0.6111 0.7155
Au3 Au 0.4669 0.9292 0.7398
Au4 Au 0.9669 0.0708 0.2602
Cd1 Cd 0.6580 0.7848 0.2152
Pd11 Pd 0.4509 0.9434 0.0566
Au5 Au 0.0710 0.4003 0.5997
Pd12 Pd 0.5240 0.2845 0.3889
Au6 Au 0.9669 0.7398 0.9292
Cd2 Cd 0.1580 0.2152 0.7848
```

Calculated values
energy of formation from the pure elements = 0.02 eV/atom
relative energy among the computed polymorphs = 0.1433 eV per atom
raw total energy = -4.17 eV per atom

***

A plane-wave DFT calculation with PBE-GGA was carried out for a relaxed CdPd5Au crystal.

Structure (CIF):
```
data_CdPd5Au
_cell_length_a 4.9078
_cell_length_b 4.9078
_cell_length_c 5.5179
_cell_angle_alpha 90.00
_cell_angle_beta 90.00
_cell_angle_gamma 110.93
_space_group_name_H-M_alt 'P 1'
_space_group_IT_number 1
_space_group_name_Hall 'P 1'
loop_
_atom_site_label
_atom_site_type_symbol
_atom_site_fract_x
_atom_site_fract_y
_atom_site_fract_z
Pd1 Pd 0.5000 0.0000 0.2458
Au1 Au 0.0000 0.0000 0.0000
Pd2 Pd 0.0000 0.5000 0.7542
Pd3 Pd 0.0000 0.5000 0.2458
Pd4 Pd 0.0000 0.0000 0.5000
Pd5 Pd 0.5000 0.0000 0.7542
Cd1 Cd 0.5000 0.5000 0.5000
```

Calculated values
energy of formation from the pure elements = -0.07 eV/atom
relative energy among the computed polymorphs = 0.0000 eV per atom
raw total energy = -4.38 eV per atom

***

A plane-wave DFT calculation with PBE-GGA was carried out for a relaxed Cd4Pd4Au3 crystal.

Structure (CIF):
```
data_Cd4Pd4Au3
_cell_length_a 3.0078
_cell_length_b 4.7309
_cell_length_c 14.2373
_cell_angle_alpha 80.47
_cell_angle_beta 96.09
_cell_angle_gamma 89.97
_space_group_name_H-M_alt 'P 1'
_space_group_IT_number 1
_space_group_name_Hall 'P 1'
loop_
_atom_site_label
_atom_site_type_symbol
_atom_site_fract_x
_atom_site_fract_y
_atom_site_fract_z
Pd1 Pd 0.2373 0.2626 0.4746
Cd1 Cd 0.1768 0.8227 0.3550
Pd2 Pd 0.4131 0.0871 0.8249
Cd2 Cd 0.9420 0.5591 0.8813
Au1 Au 0.3520 0.6489 0.7014
Au2 Au 0.0001 0.0000 0.0000
Pd3 Pd 0.5869 0.9129 0.1751
Cd3 Cd 0.0579 0.4409 0.1187
Pd4 Pd 0.7628 0.7374 0.5254
Cd4 Cd 0.8232 0.1773 0.6450
Au3 Au 0.6481 0.3511 0.2986
```

Calculated values
energy of formation from the pure elements = -0.25 eV/atom
raw total energy = -3.36 eV per atom

***

A plane-wave DFT calculation with PBE-GGA was carried out for a relaxed CdPd3Au crystal.

Structure (CIF):
```
data_CdPd3Au
_cell_length_a 4.6976
_cell_length_b 5.7173
_cell_length_c 6.8107
_cell_angle_alpha 90.00
_cell_angle_beta 69.75
_cell_angle_gamma 90.00
_space_group_name_H-M_alt 'P 1'
_space_group_IT_number 1
_space_group_name_Hall 'P 1'
loop_
_atom_site_label
_atom_site_type_symbol
_atom_site_fract_x
_atom_site_fract_y
_atom_site_fract_z
Au1 Au 0.3783 0.7500 0.7428
Cd1 Cd 0.3855 0.2500 0.7290
Pd1 Pd 0.8126 0.9981 0.8745
Cd2 Cd 0.6145 0.7500 0.2710
Pd2 Pd 0.1874 0.4981 0.1255
Pd3 Pd 0.1874 0.0019 0.1255
Pd4 Pd 0.0017 0.2500 0.4965
Pd5 Pd 0.9983 0.7500 0.5035
Au2 Au 0.6217 0.2500 0.2572
Pd6 Pd 0.8126 0.5019 0.8745
```

Calculated values
energy of formation from the pure elements = -0.18 eV/atom
relative energy among the computed polymorphs = 0.0614 eV per atom
raw total energy = -4.13 eV per atom

***

A plane-wave DFT calculation with PBE-GGA was carried out for a relaxed Cd2Pd3Au7 crystal.

Structure (CIF):
```
data_Cd2Pd3Au7
_cell_length_a 2.8871
_cell_length_b 4.4956
_cell_length_c 18.0108
_cell_angle_alpha 90.00
_cell_angle_beta 94.61
_cell_angle_gamma 90.00
_space_group_name_H-M_alt 'P 1'
_space_group_IT_number 1
_space_group_name_Hall 'P 1'
loop_
_atom_site_label
_atom_site_type_symbol
_atom_site_fract_x
_atom_site_fract_y
_atom_site_fract_z
Au1 Au 0.0658 0.5000 0.1313
Pd1 Pd 0.8259 0.0000 0.6520
Pd2 Pd 0.1741 0.0000 0.3480
Pd3 Pd 0.5000 0.5000 0.0000
Au2 Au 0.2832 0.5000 0.5664
Au3 Au 0.4042 0.0000 0.8089
Au4 Au 0.7168 0.5000 0.4336
Cd1 Cd 0.3587 0.5000 0.7177
Au5 Au 0.5958 0.0000 0.1911
Au6 Au 0.0000 0.0000 0.0000
Au7 Au 0.9342 0.5000 0.8687
Cd2 Cd 0.6413 0.5000 0.2823
```

Calculated values
energy of formation from the pure elements = 0.03 eV/atom
relative energy among the computed polymorphs = 0.0668 eV per atom
raw total energy = -3.34 eV per atom

***

A plane-wave DFT calculation with PBE-GGA was carried out for a relaxed Cd3PdAu6 crystal.

Structure (CIF):
```
data_Cd3PdAu6
_cell_length_a 5.0710
_cell_length_b 7.8611
_cell_length_c 10.6646
_cell_angle_alpha 114.57
_cell_angle_beta 73.36
_cell_angle_gamma 100.83
_space_group_name_H-M_alt 'P 1'
_space_group_IT_number 1
_space_group_name_Hall 'P 1'
loop_
_atom_site_label
_atom_site_type_symbol
_atom_site_fract_x
_atom_site_fract_y
_atom_site_fract_z
Cd1 Cd 0.7509 0.6648 0.2094
Cd2 Cd 0.7353 0.2400 0.9994
Au1 Au 0.2540 0.6495 0.7005
Au2 Au 0.7582 0.8460 0.7969
Au3 Au 0.2517 0.2440 0.4969
Cd3 Cd 0.2647 0.7600 0.0006
Cd4 Cd 0.7522 0.4428 0.5969
Au4 Au 0.7513 0.9521 0.1055
Au5 Au 0.7504 0.1427 0.6934
Pd1 Pd 0.7490 0.0533 0.4017
Au6 Au 0.2418 0.1540 0.2031
Au7 Au 0.2496 0.8573 0.3066
Pd2 Pd 0.2510 0.9467 0.5983
Au8 Au 0.7460 0.3505 0.2995
Cd5 Cd 0.2478 0.5572 0.4031
Au9 Au 0.2432 0.4527 0.0966
Au10 Au 0.7483 0.7560 0.5031
Au11 Au 0.2487 0.0479 0.8945
Cd6 Cd 0.2491 0.3352 0.7906
Au12 Au 0.7568 0.5473 0.9034
```

Calculated values
energy of formation from the pure elements = -0.15 eV/atom
raw total energy = -2.91 eV per atom

***

A plane-wave DFT calculation with PBE-GGA was carried out for a relaxed CdPd6Au2 crystal.

Structure (CIF):
```
data_CdPd6Au2
_cell_length_a 4.0515
_cell_length_b 4.8970
_cell_length_c 8.6286
_cell_angle_alpha 72.29
_cell_angle_beta 76.42
_cell_angle_gamma 65.56
_space_group_name_H-M_alt 'P 1'
_space_group_IT_number 1
_space_group_name_Hall 'P 1'
loop_
_atom_site_label
_atom_site_type_symbol
_atom_site_fract_x
_atom_site_fract_y
_atom_site_fract_z
Pd1 Pd 0.3358 0.2734 0.0549
Cd1 Cd 0.0000 0.5000 0.5000
Pd2 Pd 0.6637 0.0591 0.6135
Au1 Au 0.6729 0.3823 0.2719
Au2 Au 0.3271 0.6177 0.7281
Pd3 Pd 0.6642 0.7266 0.9451
Pd4 Pd 0.9971 0.1685 0.8374
Pd5 Pd 0.3363 0.9409 0.3865
Pd6 Pd 0.0029 0.8315 0.1626
```

Calculated values
energy of formation from the pure elements = -0.15 eV/atom
raw total energy = -4.44 eV per atom

***

A plane-wave DFT calculation with PBE-GGA was carried out for a relaxed Cd2Pd6Au crystal.

Structure (CIF):
```
data_Cd2Pd6Au
_cell_length_a 4.1437
_cell_length_b 4.8762
_cell_length_c 8.4627
_cell_angle_alpha 104.30
_cell_angle_beta 90.00
_cell_angle_gamma 115.14
_space_group_name_H-M_alt 'P 1'
_space_group_IT_number 1
_space_group_name_Hall 'P 1'
loop_
_atom_site_label
_atom_site_type_symbol
_atom_site_fract_x
_atom_site_fract_y
_atom_site_fract_z
Cd1 Cd 0.3257 0.6514 0.2722
Pd1 Pd 0.6628 0.3257 0.0546
Cd2 Cd 0.6743 0.3486 0.7278
Pd2 Pd 0.6623 0.3246 0.3870
Pd3 Pd 0.3372 0.6743 0.9454
Pd4 Pd 0.0055 0.0109 0.8384
Au1 Au 0.0000 0.0000 0.5000
Pd5 Pd 0.9945 0.9891 0.1616
Pd6 Pd 0.3377 0.6754 0.6130
```

Calculated values
energy of formation from the pure elements = -0.25 eV/atom
relative energy among the computed polymorphs = 0.0000 eV per atom
raw total energy = -4.28 eV per atom

***

A plane-wave DFT calculation with PBE-GGA was carried out for a relaxed Cd2PdAu7 crystal.

Structure (CIF):
```
data_Cd2PdAu7
_cell_length_a 2.8548
_cell_length_b 9.4599
_cell_length_c 9.4599
_cell_angle_alpha 124.68
_cell_angle_beta 90.00
_cell_angle_gamma 90.00
_space_group_name_H-M_alt 'P 1'
_space_group_IT_number 1
_space_group_name_Hall 'P 1'
loop_
_atom_site_label
_atom_site_type_symbol
_atom_site_fract_x
_atom_site_fract_y
_atom_site_fract_z
Au1 Au 0.5000 0.1424 0.3177
Au2 Au 0.5000 0.5000 0.5000
Cd1 Cd 0.5000 0.3211 0.6789
Au3 Au 0.5000 0.3177 0.1424
Au4 Au 0.0000 0.8239 0.1761
Au5 Au 0.5000 0.6823 0.8576
Au6 Au 0.5000 0.8576 0.6823
Au7 Au 0.0000 0.1761 0.8239
Cd2 Cd 0.5000 0.6789 0.3211
Pd1 Pd 0.0000 0.0000 0.0000
```

Calculated values
energy of formation from the pure elements = 0.02 eV/atom
raw total energy = -2.98 eV per atom